This record from the Alexandria database describes crystalline Tb2Fe12P7 at its relaxed geometry. The functional is PBE.

Cell lengths 8.9682, 8.9682, 3.6451 Å; angles 90.00, 90.00, 120.00 degrees
Space group P-6 (No. 174)
One atom of each set of equivalent atoms:
Tb 0.0000 0.0000 0.0000 [1 per cell]
Tb 0.3333 0.6667 0.5000 [1 per cell]
Fe 0.0375 0.2779 0.5000 [3 per cell]
Fe 0.0984 0.7171 0.0000 [3 per cell]
Fe 0.4520 0.2142 0.0000 [3 per cell]
Fe 0.5111 0.4523 0.5000 [3 per cell]
P 0.0673 0.4445 0.0000 [3 per cell]
P 0.2561 0.2202 0.5000 [3 per cell]
P 0.6667 0.3333 0.5000 [1 per cell]

Properties
The calculated formation energy comes out at -0.71 eV/atom. The calculation puts the magnetization at 0.958 Bohr magnetons per cell.



This record from the Alexandria database describes crystalline TbFeP at its relaxed geometry. The functional is PBE.

Cell lengths 3.7211, 15.8516, 3.9515 Å; angles 90.00, 90.00, 90.00 degrees
Space group Cmcm (No. 63)
One atom of each set of equivalent atoms:
Tb 0.0000 0.0967 0.2500 [4 per cell]
Fe 0.0000 0.2782 0.2500 [4 per cell]
P 0.0000 0.4243 0.2500 [4 per cell]

Properties
The calculated formation energy comes out at -0.45 eV/atom. The calculation puts the magnetization at 10.191 Bohr magnetons per cell.



This record from the Alexandria database describes crystalline TbFe5P3 at its relaxed geometry. The functional is PBE.

Cell lengths 3.7094, 11.8819, 10.7254 Å; angles 90.00, 90.00, 90.00 degrees
Space group Cmcm (No. 63)
One atom of each set of equivalent atoms:
Tb 0.0000 0.1752 0.2500 [4 per cell]
Fe 0.0000 0.0000 0.0000 [4 per cell]
Fe 0.0000 0.1903 0.5631 [8 per cell]
Fe 0.0000 0.4596 0.1393 [8 per cell]
P 0.0000 0.1067 0.7500 [4 per cell]
P 0.0000 0.3695 0.5450 [8 per cell]

Properties
The calculated formation energy comes out at -0.66 eV/atom. The calculation puts the magnetization at 20.965 Bohr magnetons per cell.



This record from the Alexandria database describes crystalline TbFe4P12 at its relaxed geometry. The functional is PBE.

Cell lengths 7.7801, 7.7801, 7.7801 Å; angles 90.00, 90.00, 90.00 degrees
Space group Im-3 (No. 204)
One atom of each set of equivalent atoms:
Tb 0.0000 0.0000 0.0000 [2 per cell]
Fe 0.2500 0.2500 0.2500 [8 per cell]
P 0.0000 0.1508 0.3522 [24 per cell]

Properties
The calculated formation energy comes out at -0.59 eV/atom. The calculation puts the magnetization at 0.000 Bohr magnetons per cell.



This record from the Alexandria database describes crystalline TbFe4P2 at its relaxed geometry. The functional is PBE.

Cell lengths 7.0379, 7.0379, 3.6295 Å; angles 90.00, 90.00, 90.00 degrees
Space group P4_2/mnm (No. 136)
One atom of each set of equivalent atoms:
Tb 0.0000 0.0000 0.0000 [2 per cell]
Fe 0.0825 0.3429 0.5000 [8 per cell]
P 0.2199 0.7801 0.5000 [4 per cell]

Properties
The calculated formation energy comes out at -0.68 eV/atom. The calculation puts the magnetization at 8.663 Bohr magnetons per cell.



This record from the Alexandria database describes crystalline TbFeTcP2 at its relaxed geometry. The functional is PBE.

Cell lengths 3.9983, 3.9983, 9.5761 Å; angles 90.00, 90.00, 90.00 degrees
Space group I-4m2 (No. 119)
One atom of each set of equivalent atoms:
Tb 0.0000 0.0000 0.0000 [2 per cell]
Fe 0.0000 0.5000 0.2500 [2 per cell]
Tc 0.0000 0.5000 0.7500 [2 per cell]
P 0.0000 0.0000 0.3685 [4 per cell]

Properties
The calculated formation energy comes out at -0.92 eV/atom. The calculation puts the magnetization at 0.001 Bohr magnetons per cell.



no.,D(E_F) (states/eV/atom),total energy (eV per cell)
1,0.964,-163.63
2,0.629,-79.45
3,0.645,-276.59
4,0.576,-226.89
5,0.966,-108.12
6,0.515,-77.79